1.
# BaLiI2O

BaLiI2O after structural relaxation (PBE, Alexandria).

Results
Relative energy among the computed polymorphs   80 kJ/mol of formula units

a b c (Å): 6.8740 6.8740 4.5604
angles (deg): 90.00 90.00 90.00
Site moments in Bohr magnetons follow the coordinates.
Fractional positions:
I1 0.0000 0.5000 0.0000  0.05
I2 0.5000 0.0000 0.0000  0.05
Ba1 0.0000 0.0000 0.0000  0.00
O1 0.0000 0.0000 0.5000  0.08
Li1 0.5000 0.5000 0.5000  0.00

=====

2.
# BaNa2In2

BaNa2In2 after structural relaxation (PBE, Alexandria).

Results
Relative energy among the computed polymorphs   53 kJ/mol of formula units
Energy of formation from the pure elements   -0.10 eV/atom

a b c (Å): 9.0904 9.0904 4.2182
angles (deg): 90.00 90.00 90.00
Fractional positions:
Na1 0.1709 0.6709 0.5000
Na2 0.6709 0.8291 0.5000
Na3 0.8291 0.3291 0.5000
Na4 0.3291 0.1709 0.5000
Ba1 0.0000 0.0000 0.0000
Ba2 0.5000 0.5000 0.0000
In1 0.3826 0.8826 0.0000
In2 0.8826 0.6174 0.0000
In3 0.6174 0.1174 0.0000
In4 0.1174 0.3826 0.0000

=====

3.
# Ce3Ta3Ga8

Ce3Ta3Ga8 after structural relaxation (PBE, Alexandria).

Results
Energy of formation from the pure elements   -0.42 eV/atom

a b c (Å): 4.4143 8.5277 8.5277
angles (deg): 66.12 75.00 75.00
Site moments in Bohr magnetons follow the coordinates.
Fractional positions:
Ce1 0.5000 0.5000 0.5000  0.73
Ce2 0.7910 0.2090 0.2090  0.40
Ce3 0.2090 0.7910 0.7910  0.40
Ta1 0.5000 0.0000 0.0000  -0.04
Ta2 0.0000 0.8246 0.1754  0.04
Ta3 0.0000 0.1754 0.8246  0.04
Ga1 0.6389 0.0730 0.6493  0.00
Ga2 0.3611 0.9270 0.3507  0.00
Ga3 0.6389 0.6493 0.0730  0.00
Ga4 0.3611 0.3507 0.9270  0.00
Ga5 0.8445 0.7936 0.5174  0.00
Ga6 0.1555 0.2064 0.4826  0.00
Ga7 0.8445 0.5174 0.7936  0.00
Ga8 0.1555 0.4826 0.2064  0.00

=====

4.
# BaSbRu4

BaSbRu4 after structural relaxation (PBE, Alexandria).

Results
Calculated total energy   -0.2428 hartree per atom

a b c (Å): 5.4685 5.4685 5.4685
angles (deg): 60.00 60.00 60.00
Site moments in Bohr magnetons follow the coordinates.
Fractional positions:
Ba1 0.0000 0.0000 0.0000  -0.02
Sb1 0.7500 0.7500 0.7500  -0.02
Ru1 0.8683 0.3772 0.3772  0.88
Ru2 0.3772 0.3772 0.8683  0.88
Ru3 0.3772 0.8683 0.3772  0.88
Ru4 0.3772 0.3772 0.3772  0.88

=====

5.
# RbGa3Tc

RbGa3Tc after structural relaxation (PBE, Alexandria).

Results
Relative energy among the computed polymorphs   254 kJ/mol of formula units
Energy of formation from the pure elements   0.38 eV/atom

a b c (Å): 4.8654 4.8654 12.7842
angles (deg): 79.03 79.03 90.00
Fractional positions:
Ga1 0.6226 0.8616 0.2769
Ga2 0.1384 0.3774 0.7231
Ga3 0.1384 0.8995 0.7231
Ga4 0.1005 0.8616 0.2769
Ga5 0.3291 0.3291 0.3418
Ga6 0.6709 0.6709 0.6582
Tc1 0.7031 0.2031 0.5938
Tc2 0.7969 0.2969 0.4062
Rb1 0.0000 0.0000 0.0000
Rb2 0.2500 0.7500 0.5000

=====

6.
# Sm3Y3Er2

Sm3Y3Er2 after structural relaxation (PBE, Alexandria).

Results
Energy of formation from the pure elements   0.08 eV/atom

a b c (Å): 5.6958 6.0028 8.7818
angles (deg): 111.47 108.92 90.00
Fractional positions:
Sm1 0.3653 0.9266 0.7305
Sm2 0.5000 0.5000 0.0000
Sm3 0.6347 0.0734 0.2695
Y1 0.8665 0.3144 0.7330
Y2 0.1335 0.6856 0.2670
Y3 0.0000 0.0000 0.0000
Er1 0.7492 0.6809 0.4984
Er2 0.2508 0.3191 0.5016

=====

7.
# Zn3Rh2Au2

Zn3Rh2Au2 after structural relaxation (PBE, Alexandria).

Results
Energy of formation from the pure elements   -0.23 eV/atom

a b c (Å): 4.2724 4.2604 7.4493
angles (deg): 90.00 106.84 119.94
Fractional positions:
Zn1 0.0000 0.0000 0.0000
Zn2 0.5106 0.2553 0.7657
Zn3 0.4894 0.7447 0.2343
Rh1 0.7578 0.3786 0.1360
Rh2 0.2422 0.6214 0.8640
Au1 0.2574 0.1286 0.3868
Au2 0.7426 0.8714 0.6132

=====

8.
# Tb2Nb2N3

Tb2Nb2N3 after structural relaxation (PBE, Alexandria).

Results
Calculated total energy   -0.3309 hartree per atom

a b c (Å): 3.3646 5.6848 5.9549
angles (deg): 107.85 106.41 90.00
Fractional positions:
Tb1 0.6141 0.8409 0.2282
Tb2 0.3859 0.1591 0.7718
Nb1 0.8495 0.6538 0.6990
Nb2 0.1505 0.3462 0.3010
N1 0.0000 0.0000 0.0000
N2 0.7498 0.2536 0.4996
N3 0.2502 0.7464 0.5004

=====

9.
# Pr5Tl2Pb

Pr5Tl2Pb after structural relaxation (PBE, Alexandria).

Results
Energy of formation from the pure elements   -0.37 eV/atom

a b c (Å): 8.8300 8.8300 9.1684
angles (deg): 118.79 118.79 90.00
Fractional positions:
Pr1 0.5080 0.6906 0.6986
Pr2 0.8094 0.9920 0.3014
Pr3 0.0000 0.0000 0.0000
Pr4 0.5000 0.5000 0.0000
Pr5 0.1906 0.0080 0.6986
Pr6 0.6906 0.1906 0.6986
Pr7 0.0080 0.5080 0.6986
Pr8 0.3094 0.8094 0.3014
Pr9 0.9920 0.4920 0.3014
Pr10 0.4920 0.3094 0.3014
Tl1 0.1402 0.3598 0.0000
Tl2 0.6402 0.1402 0.0000
Tl3 0.3598 0.8598 0.0000
Tl4 0.8598 0.6402 0.0000
Pb1 0.7500 0.7500 0.5000
Pb2 0.2500 0.2500 0.5000

=====

10.
# HoGaIr

HoGaIr after structural relaxation (PBE, Alexandria).

Results
Energy of formation from the pure elements   -0.61 eV/atom

a b c (Å): 3.2096 3.2096 5.8919
angles (deg): 105.81 105.81 90.00
Fractional positions:
Ir1 0.6836 0.6836 0.3672
Ho1 0.0092 0.0092 0.0185
Ga1 0.3071 0.3071 0.6143

=====

11.
# Pm5Cu2Bi

Pm5Cu2Bi after structural relaxation (PBE, Alexandria).

Results
Energy of formation from the pure elements   -0.32 eV/atom

a b c (Å): 8.2114 8.2114 8.8057
angles (deg): 117.79 117.79 90.00
Fractional positions:
Pm1 0.5114 0.7075 0.7189
Pm2 0.7925 0.9886 0.2811
Pm3 0.0000 0.0000 0.0000
Pm4 0.5000 0.5000 0.0000
Pm5 0.2075 0.0114 0.7189
Pm6 0.7075 0.2075 0.7189
Pm7 0.0114 0.5114 0.7189
Pm8 0.2925 0.7925 0.2811
Pm9 0.9886 0.4886 0.2811
Pm10 0.4886 0.2925 0.2811
Cu1 0.1337 0.3663 0.0000
Cu2 0.6337 0.1337 0.0000
Cu3 0.3663 0.8663 0.0000
Cu4 0.8663 0.6337 0.0000
Bi1 0.7500 0.7500 0.5000
Bi2 0.2500 0.2500 0.5000

=====

12.
# TaNiPt2

TaNiPt2 after structural relaxation (PBE, Alexandria).

Results
Energy of formation from the pure elements   -0.37 eV/atom

a b c (Å): 4.4110 4.4110 4.4110
angles (deg): 60.00 60.00 60.00
Fractional positions:
Ni1 0.5000 0.5000 0.5000
Pt1 0.0000 0.0000 0.0000
Pt2 0.2500 0.2500 0.2500
Ta1 0.7500 0.7500 0.7500

=====

13.
# Ce2PuTlN

Ce2PuTlN after structural relaxation (PBE, Alexandria).

Results
Calculated total energy   -0.2963 hartree per atom

a b c (Å): 4.7723 4.9706 4.9706
angles (deg): 90.00 90.00 90.00
Site moments in Bohr magnetons follow the coordinates.
Fractional positions:
Ce1 0.0000 0.0000 0.5000  0.73
Ce2 0.0000 0.5000 0.0000  0.73
Pu1 0.5000 0.0000 0.0000  5.22
Tl1 0.5000 0.5000 0.5000  -0.04
N1 0.0000 0.0000 0.0000  -0.14

=====

14.
# Cs2RbNaTl

Cs2RbNaTl after structural relaxation (PBE, Alexandria).

Results
Relative energy among the computed polymorphs   31 kJ/mol of formula units
Energy of formation from the pure elements   0.12 eV/atom

a b c (Å): 7.4105 7.4105 7.2830
angles (deg): 90.00 90.00 90.00
Fractional positions:
Cs1 0.0000 0.5000 0.0000
Cs2 0.5000 0.0000 0.0000
Na1 0.5000 0.5000 0.5000
Tl1 0.0000 0.0000 0.0000
Rb1 0.0000 0.0000 0.5000

=====

15.
# ZnAg2Au

ZnAg2Au after structural relaxation (PBE, Alexandria).

Results
Energy of formation from the pure elements   -0.07 eV/atom

a b c (Å): 4.9818 4.9818 4.9818
angles (deg): 131.22 131.22 71.46
Fractional positions:
Zn1 0.7500 0.2500 0.5000
Au1 0.5000 0.5000 0.0000
Ag1 0.0000 0.0000 0.0000
Ag2 0.2500 0.7500 0.5000

=====

16.
# La2URu3

La2URu3 after structural relaxation (PBE, Alexandria).

Results
Energy of formation from the pure elements   -0.22 eV/atom

a b c (Å): 4.8519 6.0625 5.5335
angles (deg): 78.14 64.00 66.41
Fractional positions:
La1 0.5780 0.1713 0.6727
La2 0.4375 0.8363 0.2888
U1 0.1242 0.4849 0.2666
Ru1 0.8697 0.5447 0.7159
Ru2 0.8155 0.2133 0.1558
Ru3 0.1751 0.7495 0.9002

=====

17.
# Ho2MgSc

Ho2MgSc after structural relaxation (PBE, Alexandria).

Results
Relative energy among the computed polymorphs   16 kJ/mol of formula units
Energy of formation from the pure elements   0.03 eV/atom

a b c (Å): 3.8260 5.3413 5.3413
angles (deg): 90.00 90.00 90.00
Fractional positions:
Sc1 0.5000 0.0000 0.0000
Mg1 0.5000 0.5000 0.5000
Ho1 0.0000 0.0000 0.5000
Ho2 0.0000 0.5000 0.0000

=====

18.
# H2AuCl8

H2AuCl8 after structural relaxation (PBE, Alexandria).

Results
Calculated total energy   -0.0871 hartree per atom

a b c (Å): 7.9346 7.9346 9.4896
angles (deg): 54.20 54.20 59.38
Fractional positions:
H1 0.7935 0.7935 0.6906
H2 0.2065 0.2065 0.3094
Au1 0.5000 0.5000 0.0000
Cl1 0.4337 0.4337 0.6696
Cl2 0.6894 0.6894 0.6816
Cl3 0.7582 0.7582 0.0403
Cl4 0.0868 0.0868 0.3105
Cl5 0.2418 0.2418 0.9597
Cl6 0.3106 0.3106 0.3184
Cl7 0.5663 0.5663 0.3304
Cl8 0.9132 0.9132 0.6895

=====

19.
# K2CrSe

K2CrSe after structural relaxation (PBE, Alexandria).

Results
Calculated total energy   -0.1364 hartree per atom

a b c (Å): 5.5425 5.5425 5.5425
angles (deg): 60.00 60.00 60.00
Site moments in Bohr magnetons follow the coordinates.
Fractional positions:
Cr1 0.5000 0.5000 0.5000  4.36
K1 0.0000 0.0000 0.0000  0.02
K2 0.2500 0.2500 0.2500  0.06
Se1 0.7500 0.7500 0.7500  0.08

=====

20.
# Zn2Te

Zn2Te after structural relaxation (PBE, Alexandria).

Results
Relative energy among the computed polymorphs   29 kJ/mol of formula units

a b c (Å): 6.9286 6.9286 5.6486
angles (deg): 90.00 90.00 120.00
Fractional positions:
Zn1 0.3919 0.3919 0.8282
Zn2 0.6081 0.0000 0.8282
Zn3 0.0000 0.6081 0.8282
Zn4 0.0000 0.3919 0.1718
Zn5 0.3919 0.0000 0.1718
Zn6 0.6081 0.6081 0.1718
Te1 0.0000 0.0000 0.0000
Te2 0.3333 0.6667 0.5000
Te3 0.6667 0.3333 0.5000

=====

21.
# V2ZnOsS

V2ZnOsS after structural relaxation (PBE, Alexandria).

Results
Calculated total energy   -0.1938 hartree per atom

a b c (Å): 4.7095 4.1525 4.7095
angles (deg): 90.00 90.00 90.00
Site moments in Bohr magnetons follow the coordinates.
Fractional positions:
Zn1 0.0000 0.0000 0.0000  0.06
Os1 0.5000 0.5000 0.5000  -1.96
S1 0.0000 0.5000 0.0000  -0.09
V1 0.0000 0.0000 0.5000  2.20
V2 0.5000 0.0000 0.0000  2.13

=====

22.
# Li2AlW

Li2AlW after structural relaxation (PBE, Alexandria).

Results
Energy of formation from the pure elements   0.48 eV/atom

a b c (Å): 4.4711 4.4711 4.4711
angles (deg): 123.44 123.44 84.13
Site moments in Bohr magnetons follow the coordinates.
Fractional positions:
Al1 0.7500 0.2500 0.5000  -0.02
Li1 0.0000 0.0000 0.0000  -0.01
Li2 0.2500 0.7500 0.5000  0.00
W1 0.5000 0.5000 0.0000  0.87

=====

23.
# Pm4TlH

Pm4TlH after structural relaxation (PBE, Alexandria).

Results
Calculated total energy   -0.1583 hartree per atom

a b c (Å): 5.1923 6.9789 9.0243
angles (deg): 90.00 106.72 90.00
Fractional positions:
Pm1 0.8941 0.2806 0.7881
Pm2 0.1059 0.7806 0.2119
Pm3 0.5000 0.0305 0.0000
Pm4 0.5000 0.5305 0.0000
Pm5 0.6952 0.5195 0.3904
Pm6 0.3048 0.0195 0.6096
Pm7 0.6952 0.0416 0.3905
Pm8 0.3048 0.5416 0.6095
Tl1 0.8983 0.7806 0.7966
Tl2 0.1017 0.2806 0.2034
H1 0.5972 0.7805 0.1943
H2 0.4028 0.2805 0.8057

=====

24.
# ZrNiSnAu

ZrNiSnAu after structural relaxation (PBE, Alexandria).

Results
Energy of formation from the pure elements   -0.33 eV/atom

a b c (Å): 4.6865 4.6865 4.6865
angles (deg): 60.00 60.00 60.00
Fractional positions:
Ni1 0.5000 0.5000 0.5000
Au1 0.0000 0.0000 0.0000
Sn1 0.2500 0.2500 0.2500
Zr1 0.7500 0.7500 0.7500

=====

25.
# Na4TeBr2

Na4TeBr2 after structural relaxation (PBE, Alexandria).

Results
Calculated total energy   -0.1021 hartree per atom

a b c (Å): 5.8330 5.8330 8.8901
angles (deg): 70.85 70.85 90.00
Fractional positions:
Na1 0.1865 0.1865 0.6270
Na2 0.8135 0.8135 0.3730
Na3 0.0000 0.5000 0.0000
Na4 0.5000 0.0000 0.0000
Te1 0.0000 0.0000 0.0000
Br1 0.3599 0.3599 0.2802
Br2 0.6401 0.6401 0.7198

=====

| no. | size of the total moment (μB per formula unit) |
| --- | --- |
| 1 | 0.2 |
| 2 | 0.2 |
| 3 | 1.8 |
| 4 | 3.6 |
| 5 | 0.0 |
| 6 | 0.0 |
| 7 | 0.0 |
| 8 | 0.0 |
| 9 | 0.0 |
| 10 | 0.0 |
| 11 | 0.0 |
| 12 | 0.0 |
| 13 | 7.1 |
| 14 | 0.0 |
| 15 | 0.0 |
| 16 | 0.0 |
| 17 | 0.0 |
| 18 | 0.0 |
| 19 | 5.8 |
| 20 | 0.0 |
| 21 | 3.0 |
| 22 | 1.1 |
| 23 | 0.0 |
| 24 | 0.0 |
| 25 | 0.0 |